Ho3Tm2Ru2: optimized geometry, PBE.

Unit cell a=3.866 b=6.204 c=8.353 alpha=112.07 beta=90.00 gamma=108.16
Element x y z (fractional)
Ho 0.500 0.000 0.000
Ho 0.379 0.757 0.570
Ho 0.621 0.243 0.430
Tm 0.166 0.332 0.814
Tm 0.834 0.668 0.186
Ru 0.821 0.641 0.781
Ru 0.179 0.359 0.219

Values from the calculation:
Crystal system: monoclinic
Space-group type: C2/m, No. 12
ΔH_f (0 K) in eV per atom: -0.360

---

SrGaBr3: optimized geometry, PBE.

Unit cell a=7.702 b=8.087 c=7.630 alpha=82.15 beta=73.34 gamma=61.56
Element x y z (fractional)
Ga 0.652 0.696 0.500
Ga 0.348 0.304 0.500
Br 0.040 0.400 0.252
Br 0.225 0.000 0.776
Br 0.560 0.400 0.748
Br 0.440 0.600 0.252
Br 0.775 0.000 0.224
Br 0.960 0.600 0.748
Sr 0.158 0.684 0.000
Sr 0.842 0.316 0.000

Values from the calculation:
Crystal system: monoclinic
Space-group type: C2/m, No. 12
Uncorrected formation energy in eV/atom: -1.47
E above lowest polymorph in kJ per mole of atoms: 0.0

---

Ac5Sm3As12: optimized geometry, PBE.

Unit cell a=15.179 b=15.179 c=15.179 alpha=109.47 beta=109.47 gamma=109.47
Element x y z (fractional)
As 0.092 0.170 0.254
As 0.908 0.830 0.746
As 0.254 0.670 0.092
As 0.592 0.754 0.670
As 0.254 0.583 0.662
As 0.578 0.662 0.408
As 0.592 0.838 0.422
As 0.170 0.092 0.754
As 0.162 0.408 0.078
As 0.838 0.246 0.417
As 0.408 0.246 0.330
As 0.422 0.338 0.592
As 0.746 0.417 0.338
As 0.338 0.422 0.092
As 0.083 0.422 0.830
As 0.830 0.908 0.246
As 0.754 0.162 0.083
As 0.330 0.583 0.422
As 0.662 0.578 0.908
As 0.830 0.922 0.083
As 0.417 0.746 0.838
As 0.422 0.083 0.330
As 0.417 0.670 0.078
As 0.170 0.078 0.917
As 0.922 0.092 0.838
As 0.662 0.083 0.254
As 0.583 0.330 0.922
As 0.838 0.592 0.922
As 0.078 0.908 0.162
As 0.670 0.254 0.592
As 0.330 0.746 0.408
As 0.078 0.170 0.417
As 0.083 0.662 0.754
As 0.246 0.408 0.830
As 0.162 0.754 0.583
As 0.908 0.078 0.662
As 0.754 0.592 0.170
As 0.917 0.578 0.170
As 0.583 0.254 0.162
As 0.670 0.417 0.578
As 0.338 0.917 0.746
As 0.922 0.830 0.583
As 0.746 0.330 0.908
As 0.092 0.922 0.338
As 0.578 0.917 0.670
As 0.246 0.838 0.917
As 0.408 0.162 0.578
As 0.917 0.338 0.246
Ac 0.750 0.125 0.875
Ac 0.375 0.125 0.750
Ac 0.250 0.875 0.125
Ac 0.000 0.500 0.000
Ac 0.000 0.000 0.500
Ac 0.250 0.375 0.625
Ac 0.500 0.500 0.500
Ac 0.375 0.250 0.125
Ac 0.750 0.625 0.375
Ac 0.000 0.000 0.000
Ac 0.125 0.375 0.250
Ac 0.500 0.000 0.500
Ac 0.875 0.625 0.750
Ac 0.625 0.875 0.250
Ac 0.000 0.500 0.500
Ac 0.875 0.250 0.625
Ac 0.625 0.750 0.875
Ac 0.125 0.750 0.375
Ac 0.500 0.000 0.000
Ac 0.500 0.500 0.000
Sm 0.875 0.125 0.250
Sm 0.875 0.750 0.125
Sm 0.250 0.625 0.875
Sm 0.375 0.625 0.250
Sm 0.625 0.375 0.750
Sm 0.250 0.125 0.375
Sm 0.125 0.875 0.750
Sm 0.375 0.750 0.625
Sm 0.125 0.250 0.875
Sm 0.625 0.250 0.375
Sm 0.750 0.875 0.625
Sm 0.750 0.375 0.125

Values from the calculation:
Crystal system: cubic
Space-group type: Ia-3d, No. 230
ΔH_f (0 K) in eV per atom: -0.702

---

Pr2PuCuTe5: optimized geometry, PBE.

Unit cell a=4.358 b=9.840 c=13.053 alpha=90.00 beta=90.00 gamma=102.79
Element x y z (fractional)
Pr 0.891 0.782 0.185
Pr 0.123 0.247 0.307
Pr 0.109 0.218 0.685
Pr 0.877 0.753 0.807
Cu 0.429 0.857 0.459
Cu 0.571 0.143 0.959
Te 0.360 0.720 0.000
Te 0.500 0.999 0.286
Te 0.044 0.088 0.064
Te 0.686 0.372 0.842
Te 0.640 0.280 0.500
Te 0.712 0.423 0.173
Te 0.500 0.001 0.786
Te 0.288 0.577 0.673
Te 0.956 0.912 0.564
Te 0.314 0.628 0.342
Pu 0.196 0.392 0.008
Pu 0.804 0.608 0.508

Values from the calculation:
Crystal system: orthorhombic
Space-group type: Cmc2_1, No. 36
Uncorrected formation energy in eV/atom: -1.09